A relaxed NaAsWO5 crystal. Source: Alexandria, functional PBE with a Hubbard U.

a = 6.986 Å, b = 9.032 Å, c = 7.514 Å
α = 90.00°, β = 114.39°, γ = 90.00°
Space group C2/c (No. 15)
Unique sites:
1 Na 0.000 0.173 0.250 [4 per cell]
2 As 0.000 0.182 0.750 [4 per cell]
3 W 0.000 0.500 0.000 [4 per cell]
4 O 0.000 0.429 0.250 [4 per cell]
5 O 0.112 0.290 0.628 [8 per cell]
6 O 0.180 0.065 0.916 [8 per cell]

Computed properties:
- total DFT energy (no corrections) (eV per atom) = -6.446